1.
Sm6ZnOs2Cl3 | PBE | optimized geometry

```
data_Sm6ZnOs2Cl3
_cell_length_a 7.0538
_cell_length_b 12.2920
_cell_length_c 7.8873
_cell_angle_alpha 90.00
_cell_angle_beta 107.15
_cell_angle_gamma 90.00
_symmetry_space_group_name_H-M 'C 1 2/m 1'
_symmetry_Int_Tables_number 12
loop_
_symmetry_equiv_pos_as_xyz
'x,y,z'
'-x,-y,-z'
'-x,y,-z'
'x,-y,z'
'x+1/2,y+1/2,z'
'-x+1/2,-y+1/2,-z'
'-x+1/2,y+1/2,-z'
'x+1/2,-y+1/2,z'
loop_
_atom_site_label
_atom_site_type_symbol
_atom_site_fract_x
_atom_site_fract_y
_atom_site_fract_z
_atom_site_occupancy
Sm1 Sm 0.2122 0.0000 0.2116 1
Sm2 Sm 0.2462 0.3209 0.2089 1
Zn1 Zn 0.0000 0.5000 0.0000 1
Os1 Os 0.0000 0.1652 0.0000 1
Cl1 Cl 0.0000 0.0000 0.5000 1
Cl2 Cl 0.0000 0.3267 0.5000 1
```

Properties
- Formation energy without anion corrections: -828 meV per atom
- Raw total energy: -5.63 eV per atom

2.
Sn3OsCl | PBE | optimized geometry

```
data_Sn3OsCl
_cell_length_a 5.1474
_cell_length_b 5.1474
_cell_length_c 5.1474
_cell_angle_alpha 90.00
_cell_angle_beta 90.00
_cell_angle_gamma 90.00
_symmetry_space_group_name_H-M 'P m -3 m'
_symmetry_Int_Tables_number 221
_symmetry_space_group_name_Hall '-P 4 2 3'
loop_
_atom_site_label
_atom_site_type_symbol
_atom_site_fract_x
_atom_site_fract_y
_atom_site_fract_z
_atom_site_occupancy
Sn1 Sn 0.0000 0.0000 0.5000 1
Os1 Os 0.0000 0.0000 0.0000 1
Cl1 Cl 0.5000 0.5000 0.5000 1
```

Properties
- Formation energy without anion corrections: -61 meV per atom
- Relative energy among the computed polymorphs: 0 meV/atom
- Raw total energy: -5.08 eV per atom

Q: Which value of formation energy without anion corrections does entry 2 give?
A: -61 meV per atom

Q: Among the records above, which one has the highest formation energy without anion corrections?
A: Sn3OsCl